[1]
! PBE ScGePO2, relaxed; values from VASP
&SYSTEM
  ibrav = 0, nat = 5, ntyp = 4
/
ATOMIC_SPECIES
Sc 44.96 Sc.upf
P 30.97 P.upf
Ge 72.64 Ge.upf
O 16.00 O.upf
ATOMIC_POSITIONS angstrom
Sc 1.878 1.878 2.471
P 0.000 0.000 2.471
Ge 0.000 0.000 0.000
O 0.000 1.878 0.000
O 1.878 0.000 0.000
CELL_PARAMETERS angstrom
3.757 0.000 0.000
0.000 3.757 0.000
0.000 0.000 4.942
! calculated volume = 13.95 Å³ per atom
! relative energy among the computed polymorphs = 0 meV/atom
! magnetization = 0.00 μB/cell
! uncorrected formation energy = -1064 meV per atom
! DOS(E_F) = 0.5 states/eV/cell

---

[2]
! PBE ScGeP2O, relaxed; values from VASP
&SYSTEM
  ibrav = 0, nat = 5, ntyp = 4
/
ATOMIC_SPECIES
Sc 44.96 Sc.upf
P 30.97 P.upf
Ge 72.64 Ge.upf
O 16.00 O.upf
ATOMIC_POSITIONS angstrom
Sc 0.000 0.000 0.000
P 0.000 2.567 0.000
P 2.567 0.000 0.000
Ge 2.567 2.567 1.925
O 0.000 0.000 1.925
CELL_PARAMETERS angstrom
5.134 0.000 0.000
0.000 5.134 0.000
0.000 0.000 3.849
! calculated volume = 20.29 Å³ per atom
! relative energy among the computed polymorphs = 58 meV/atom
! magnetization = 0.00 μB/cell
! uncorrected formation energy = -195 meV per atom
! DOS(E_F) = 4.9 states/eV/cell